Entry 1:
VASP calculation (meta-GGA SCAN) on a crystal of Ba3NbSb relaxed with PBEsol.

Lattice parameters (Å, degrees): 6.495 6.495 6.495 90.00 90.00 90.00
Sites, in units of the cell vectors:
Ba (0.000, 0.000, 0.500)
Ba (0.000, 0.500, 0.000)
Ba (0.500, 0.000, 0.000)
Nb (0.500, 0.500, 0.500)
Sb (0.000, 0.000, 0.000)

Output
volume = 54.80 A^3/atom
total moment = 5.935 μB/f.u.
formation energy (no corrections) = 0.34 eV per atom
space group = Pm-3m

Entry 2:
VASP calculation (meta-GGA SCAN) on a crystal of AlNiPt2 relaxed with PBEsol.

Lattice parameters (Å, degrees): 2.768 3.515 5.511 90.00 90.00 90.00
Sites, in units of the cell vectors:
Al (0.000, 0.000, 0.000)
Ni (0.000, 0.000, 0.500)
Pt (0.500, 0.500, 0.253)
Pt (0.500, 0.500, 0.747)

Output
volume = 13.41 A^3/atom
total moment = 1.046 μB/f.u.
calculated formation energy = -774 meV per atom
space group = Pmmm

Entry 3:
VASP calculation (meta-GGA SCAN) on a crystal of KMg2Se relaxed with PBEsol.

Lattice parameters (Å, degrees): 6.078 10.685 3.846 90.00 90.00 90.00
Sites, in units of the cell vectors:
K (0.000, 0.000, 0.000)
K (0.500, 0.500, 0.000)
Mg (0.000, 0.322, 0.500)
Mg (0.000, 0.678, 0.500)
Mg (0.500, 0.178, 0.500)
Mg (0.500, 0.822, 0.500)
Se (0.000, 0.500, 0.000)
Se (0.500, 0.000, 0.000)

Output
volume = 31.22 A^3/atom
total moment = 0.000 μB/f.u.
formation energy (no corrections) = -0.54 eV per atom
space group = Cmmm